No. 1
Y2Be2Rh (GGA-PBE, relaxed); offset from the most stable computed form = 160 meV/atom; space group = No. 139; N(E_F) = 2.97 states/eV/f.u.; formation enthalpy at 0 K = -0.04 eV/atom
1.0
-2.6648 2.6648 3.3342
2.6648 -2.6648 3.3342
2.6648 2.6648 -3.3342
Y Be Rh
2 2 1
Direct
0.2500 0.7500 0.5000
0.7500 0.2500 0.5000
0.1486 0.1486 0.0000
0.8514 0.8514 0.0000
0.5000 0.5000 0.0000

***

No. 2
Zn2HgTe (GGA-PBE, relaxed); formation energy (no corrections) = -0.02 eV per atom; offset from the most stable computed form = 0 meV/atom; space group = No. 8; N(E_F) = 1.25 states/eV/f.u.
1.0
6.4758 -1.9565 0.0000
6.4758 1.9565 0.0000
-1.1710 0.0000 3.7346
Zn Hg Te
2 1 1
Direct
0.0000 0.0000 0.0000
0.2143 0.2143 0.2245
0.6956 0.6956 0.7058
0.4341 0.4341 0.4358

***

No. 3
Hf8C4N3O (GGA-PBE, relaxed); formation energy (no corrections) = -1.51 eV per atom; space group = No. 166; N(E_F) = 2.89 states/eV/f.u.
1.0
3.2512 1.8771 5.3175
-3.2512 1.8771 5.3175
0.0000 -3.7541 5.3175
Hf C N O
8 4 3 1
Direct
0.2488 0.2488 0.2488
0.2535 0.7437 0.7437
0.2563 0.2563 0.7465
0.2563 0.7465 0.2563
0.7437 0.2535 0.7437
0.7437 0.7437 0.2535
0.7465 0.2563 0.2563
0.7512 0.7512 0.7512
0.0000 0.0000 0.5000
0.0000 0.5000 0.0000
0.5000 0.0000 0.0000
0.5000 0.5000 0.5000
0.0000 0.5000 0.5000
0.5000 0.0000 0.5000
0.5000 0.5000 0.0000
0.0000 0.0000 0.0000

***

Q: Look up the N(E_F) of the first one.
A: 2.97 states/eV/f.u.